VASP calculation (GGA-PBE) on an optimized crystal structure of TaCrOs2.

a b c (Å): 3.059 4.468 4.325
angles (deg): 90.00 90.00 90.00
Fractional positions:
Cr  0.000  0.500  0.500
Ta  0.500  0.000  0.500
Os  0.500  0.500  0.000
Os  0.000  0.000  0.000

## Properties
D(E_F)	5.56	states/eV/cell
mass density	17.231	Mg/m³
volume	14.778	Å³ per atom
M_tot	0.00	μB per atom
formation enthalpy at 0 K	0.5	eV/f.u.